ErTmAlCo | PBE | optimized geometry

```
data_ErTmAlCo
_cell_length_a 4.8932
_cell_length_b 4.8932
_cell_length_c 4.8932
_cell_angle_alpha 60.00
_cell_angle_beta 60.00
_cell_angle_gamma 60.00
_space_group_name_H-M_alt 'P 1'
_space_group_IT_number 1
loop_
_space_group_symop_operation_xyz
'x,y,z'
loop_
_atom_site_label
_atom_site_type_symbol
_atom_site_fract_x
_atom_site_fract_y
_atom_site_fract_z
Co1 Co 0.2500 0.2500 0.2500
Tm1 Tm 0.5000 0.5000 0.5000
Er1 Er 0.0000 0.0000 0.0000
Al1 Al 0.7500 0.7500 0.7500
```

ΔH_f (0 K)   -0.2373 eV per atom


ErAlZnCo | PBE | optimized geometry

```
data_ErAlZnCo
_cell_length_a 4.5330
_cell_length_b 4.5330
_cell_length_c 4.5330
_cell_angle_alpha 60.00
_cell_angle_beta 60.00
_cell_angle_gamma 60.00
_space_group_name_H-M_alt 'P 1'
_space_group_IT_number 1
loop_
_space_group_symop_operation_xyz
'x,y,z'
loop_
_atom_site_label
_atom_site_type_symbol
_atom_site_fract_x
_atom_site_fract_y
_atom_site_fract_z
Er1 Er 0.2500 0.2500 0.2500
Zn1 Zn 0.0000 0.0000 0.0000
Co1 Co 0.5000 0.5000 0.5000
Al1 Al 0.7500 0.7500 0.7500
```

ΔH_f (0 K)   -0.2531 eV per atom


EuAl3Co | PBE | optimized geometry

```
data_EuAl3Co
_cell_length_a 4.5609
_cell_length_b 4.5609
_cell_length_c 4.5609
_cell_angle_alpha 90.00
_cell_angle_beta 90.00
_cell_angle_gamma 90.00
_space_group_name_H-M_alt 'P 1'
_space_group_IT_number 1
loop_
_space_group_symop_operation_xyz
'x,y,z'
loop_
_atom_site_label
_atom_site_type_symbol
_atom_site_fract_x
_atom_site_fract_y
_atom_site_fract_z
Co1 Co 0.0000 0.0000 0.0000
Eu1 Eu 0.5000 0.5000 0.5000
Al1 Al 0.0000 0.5000 0.0000
Al2 Al 0.0000 0.0000 0.5000
Al3 Al 0.5000 0.0000 0.0000
```

ΔH_f (0 K)   -0.3907 eV per atom


EuAl9Co2 | PBE | optimized geometry

```
data_EuAl9Co2
_cell_length_a 7.8690
_cell_length_b 7.8690
_cell_length_c 3.8920
_cell_angle_alpha 90.00
_cell_angle_beta 90.00
_cell_angle_gamma 120.00
_space_group_name_H-M_alt 'P 1'
_space_group_IT_number 1
loop_
_space_group_symop_operation_xyz
'x,y,z'
loop_
_atom_site_label
_atom_site_type_symbol
_atom_site_fract_x
_atom_site_fract_y
_atom_site_fract_z
Al1 Al 0.7874 0.5748 0.5000
Al2 Al 0.5000 0.5000 0.0000
Al3 Al 0.2126 0.4252 0.5000
Al4 Al 0.5000 0.0000 0.0000
Al5 Al 0.5748 0.7874 0.5000
Al6 Al 0.0000 0.5000 0.0000
Al7 Al 0.4252 0.2126 0.5000
Al8 Al 0.7874 0.2126 0.5000
Al9 Al 0.2126 0.7874 0.5000
Eu1 Eu 0.0000 0.0000 0.0000
Co1 Co 0.6667 0.3333 0.0000
Co2 Co 0.3333 0.6667 0.0000
```

ΔH_f (0 K)   -0.4137 eV per atom


Total magnetic moment for every record listed, in sequence, given in μB/atom: 0.2274 0.2233 1.4441 0.5903.
Density of states at the Fermi level for every record listed, in sequence, given in states/eV/atom: 0.8010 0.7534 0.7526 0.6885.